(1)
Compound: ScPAu3
Source: Alexandria
Functional: meta-GGA SCAN
Structure: PBEsol geometry

POSCAR file:
```
ScPAu3
1.0
4.938 0.000 0.000
0.000 4.938 0.000
0.000 0.000 4.938
Sc P Au
1 1 3
direct
0.000 0.000 0.000
0.500 0.500 0.500
0.000 0.000 0.500
0.000 0.500 0.000
0.500 0.000 0.000
```

Properties
Its space group is Pm-3m (221). The value obtained for the calculated density is 9.20 g cm⁻³. Its formation energy is 0.945 eV per atom. The value obtained for the distance to the lowest polymorph of the same formula is 1035.6 meV per atom. The volume comes out at 120 Å³ per cell.

***

(2)
Compound: ScPAu3
Source: Alexandria
Functional: meta-GGA SCAN
Structure: PBEsol geometry

POSCAR file:
```
ScPAu3
1.0
4.644 0.000 0.000
0.000 4.644 0.000
0.000 0.000 4.644
Sc P Au
1 1 3
direct
0.000 0.000 0.000
0.500 0.500 0.500
0.000 0.500 0.500
0.500 0.000 0.500
0.500 0.500 0.000
```

Properties
Its space group is Pm-3m (221). The value obtained for the calculated density is 11.06 g cm⁻³. Its formation energy is -0.090 eV per atom. The value obtained for the distance to the lowest polymorph of the same formula is 0.0 meV per atom. The volume comes out at 100 Å³ per cell.

***

(3)
Compound: ScP2Au
Source: Alexandria
Functional: meta-GGA SCAN
Structure: PBEsol geometry

POSCAR file:
```
ScP2Au
1.0
3.083 0.000 0.000
-1.542 2.670 0.000
0.000 0.000 17.063
Sc P Au
2 4 2
direct
0.000 0.000 0.000
0.000 0.000 0.500
0.333 0.667 0.113
0.333 0.667 0.387
0.667 0.333 0.613
0.667 0.333 0.887
0.333 0.667 0.250
0.667 0.333 0.750
```

Properties
Its space group is P6_3/mmc (194). The value obtained for the calculated density is 7.18 g cm⁻³. Its formation energy is -0.251 eV per atom. The value obtained for the distance to the lowest polymorph of the same formula is 251.7 meV per atom. The volume comes out at 140 Å³ per cell.

***

Please write out number 2 again, unchanged.
Compound: ScPAu3
Source: Alexandria
Functional: meta-GGA SCAN
Structure: PBEsol geometry

POSCAR file:
```
ScPAu3
1.0
4.644 0.000 0.000
0.000 4.644 0.000
0.000 0.000 4.644
Sc P Au
1 1 3
direct
0.000 0.000 0.000
0.500 0.500 0.500
0.000 0.500 0.500
0.500 0.000 0.500
0.500 0.500 0.000
```

Properties
Its space group is Pm-3m (221). The value obtained for the calculated density is 11.06 g cm⁻³. Its formation energy is -0.090 eV per atom. The value obtained for the distance to the lowest polymorph of the same formula is 0.0 meV per atom. The volume comes out at 100 Å³ per cell.